No. 1
DFT (PBE) results for an optimized crystal structure of Gd2TiO5.

Properties
E above lowest polymorph, meV per atom: 0.0
Formation energy from raw total energies, meV/atom: -3389.7

a = 10.574 Å, b = 3.766 Å, c = 11.418 Å
α = 90.00°, β = 90.00°, γ = 90.00°
Space group Pnma (No. 62)
Inequivalent atoms, fractional coordinates:
Gd: 0.112 0.250 0.222 (multiplicity 4)
Gd: 0.136 0.250 0.556 (multiplicity 4)
Ti: 0.177 0.250 0.879 (multiplicity 4)
O: 0.007 0.750 0.605 (multiplicity 4)
O: 0.012 0.250 0.845 (multiplicity 4)
O: 0.224 0.250 0.041 (multiplicity 4)
O: 0.236 0.750 0.882 (multiplicity 4)
O: 0.239 0.750 0.230 (multiplicity 4)

No. 2
DFT (PBE) results for an optimized crystal structure of LaTb3Dy6Ho2.

Properties
Energy of formation from the pure elements, eV per atom: 0.0190

a = 6.170 Å, b = 10.679 Å, c = 11.814 Å
α = 90.00°, β = 99.98°, γ = 90.00°
Space group C2/m (No. 12)
Inequivalent atoms, fractional coordinates:
La: 0.000 0.000 0.000 (multiplicity 2)
Tb: 0.000 0.167 0.500 (multiplicity 4)
Tb: 0.000 0.500 0.500 (multiplicity 2)
Dy: 0.248 0.333 0.748 (multiplicity 8)
Dy: 0.250 0.000 0.748 (multiplicity 4)
Ho: 0.000 0.333 0.000 (multiplicity 4)

No. 3
DFT (PBE) results for an optimized crystal structure of KCd2SnSe4.

Properties
Formation energy from raw total energies, meV/atom: -581.3

a = 9.474 Å, b = 9.490 Å, c = 12.223 Å
α = 90.00°, β = 90.00°, γ = 90.00°
Space group Fmm2 (No. 42)
Inequivalent atoms, fractional coordinates:
K: 0.000 0.000 0.000 (multiplicity 4)
Cd: 0.250 0.250 0.251 (multiplicity 8)
Sn: 0.000 0.000 0.501 (multiplicity 4)
Se: 0.000 0.219 0.360 (multiplicity 8)
Se: 0.220 0.000 0.642 (multiplicity 8)

No. 4
DFT (PBE) results for an optimized crystal structure of KAs2PSe.

Properties
E above lowest polymorph, meV per atom: 1673.7
Formation energy from raw total energies, meV/atom: 1871.0

a = 5.432 Å, b = 5.432 Å, c = 5.430 Å
α = 90.00°, β = 90.00°, γ = 90.00°
Space group P4/mmm (No. 123)
Inequivalent atoms, fractional coordinates:
K: 0.000 0.000 0.000 (multiplicity 1)
As: 0.000 0.500 0.000 (multiplicity 2)
P: 0.500 0.500 0.500 (multiplicity 1)
Se: 0.000 0.000 0.500 (multiplicity 1)

No. 5
DFT (PBE) results for an optimized crystal structure of PuCd4Hg7.

Properties
E above lowest polymorph, meV per atom: 0.0
Energy of formation from the pure elements, eV per atom: -0.0293

a = 5.952 Å, b = 6.530 Å, c = 8.028 Å
α = 102.54°, β = 93.88°, γ = 99.33°
Space group P-1 (No. 2)
Inequivalent atoms, fractional coordinates:
Pu: 0.000 0.000 0.000 (multiplicity 1)
Cd: 0.232 0.251 0.686 (multiplicity 2)
Cd: 0.322 0.418 0.338 (multiplicity 2)
Hg: 0.000 0.500 0.000 (multiplicity 1)
Hg: 0.181 0.736 0.651 (multiplicity 2)
Hg: 0.285 0.928 0.339 (multiplicity 2)
Hg: 0.480 0.753 0.990 (multiplicity 2)

No. 6
DFT (PBE) results for an optimized crystal structure of CuSiTe2Cl.

Properties
Formation energy from raw total energies, meV/atom: 836.5

a = 5.689 Å, b = 5.689 Å, c = 4.250 Å
α = 90.00°, β = 90.00°, γ = 90.00°
Space group P4/mmm (No. 123)
Inequivalent atoms, fractional coordinates:
Cu: 0.000 0.000 0.000 (multiplicity 1)
Si: 0.500 0.500 0.000 (multiplicity 1)
Te: 0.000 0.500 0.500 (multiplicity 2)
Cl: 0.000 0.000 0.500 (multiplicity 1)

No. 7
DFT (PBE) results for an optimized crystal structure of LiIn2Re.

Properties
E above lowest polymorph, meV per atom: 81.1
Energy of formation from the pure elements, eV per atom: 0.3128

a = 3.263 Å, b = 4.514 Å, c = 9.713 Å
α = 90.00°, β = 90.00°, γ = 90.00°
Space group Imm2 (No. 44)
Inequivalent atoms, fractional coordinates:
Li: 0.000 0.000 0.000 (multiplicity 2)
In: 0.000 0.000 0.477 (multiplicity 2)
In: 0.000 0.500 0.242 (multiplicity 2)
Re: 0.000 0.500 0.732 (multiplicity 2)

No. 8
DFT (PBE) results for an optimized crystal structure of Sm8Bi4Te3.

Properties
Formation energy from raw total energies, meV/atom: -1003.8

a = 12.632 Å, b = 12.648 Å, c = 8.909 Å
α = 90.00°, β = 134.75°, γ = 90.00°
Space group C2/m (No. 12)
Inequivalent atoms, fractional coordinates:
Sm: 0.000 0.248 0.000 (multiplicity 4)
Sm: 0.000 0.249 0.500 (multiplicity 4)
Sm: 0.246 0.000 0.001 (multiplicity 4)
Sm: 0.250 0.000 0.499 (multiplicity 4)
Bi: 0.000 0.000 0.500 (multiplicity 2)
Bi: 0.000 0.500 0.000 (multiplicity 2)
Bi: 0.250 0.250 0.000 (multiplicity 4)
Te: 0.000 0.500 0.500 (multiplicity 2)
Te: 0.250 0.250 0.500 (multiplicity 4)

No. 9
DFT (PBE) results for an optimized crystal structure of Hf3Ti3Al5.

Properties
Energy of formation from the pure elements, eV per atom: -0.2413

a = 14.861 Å, b = 4.338 Å, c = 6.975 Å
α = 90.00°, β = 116.60°, γ = 90.00°
Space group Cm (No. 8)
Inequivalent atoms, fractional coordinates:
Hf: 0.000 0.000 0.000 (multiplicity 2)
Hf: 0.026 0.500 0.344 (multiplicity 2)
Hf: 0.291 0.500 0.617 (multiplicity 2)
Ti: 0.018 0.500 0.757 (multiplicity 2)
Ti: 0.166 0.000 0.846 (multiplicity 2)
Ti: 0.326 0.500 0.085 (multiplicity 2)
Al: 0.160 0.000 0.439 (multiplicity 2)
Al: 0.165 0.500 0.161 (multiplicity 2)
Al: 0.322 0.000 0.342 (multiplicity 2)
Al: 0.362 0.000 0.904 (multiplicity 2)
Al: 0.466 0.500 0.519 (multiplicity 2)

No. 10
DFT (PBE) results for an optimized crystal structure of In3GaSe4.

Properties
Formation energy from raw total energies, meV/atom: -423.3

a = 10.721 Å, b = 6.740 Å, c = 6.577 Å
α = 90.00°, β = 90.00°, γ = 90.00°
Space group Pmn2_1 (No. 31)
Inequivalent atoms, fractional coordinates:
In: 0.000 0.239 0.000 (multiplicity 2)
In: 0.249 0.280 0.481 (multiplicity 4)
Ga: 0.000 0.809 0.446 (multiplicity 2)
Se: 0.000 0.167 0.527 (multiplicity 2)
Se: 0.000 0.779 0.071 (multiplicity 2)
Se: 0.205 0.687 0.555 (multiplicity 4)

No. 11
DFT (PBE) results for an optimized crystal structure of AlSnHg3.

Properties
E above lowest polymorph, meV per atom: 227.9
Energy of formation from the pure elements, eV per atom: 0.4940

a = 5.634 Å, b = 5.634 Å, c = 5.634 Å
α = 90.00°, β = 90.00°, γ = 90.00°
Space group Pm-3m (No. 221)
Inequivalent atoms, fractional coordinates:
Al: 0.000 0.000 0.000 (multiplicity 1)
Sn: 0.500 0.500 0.500 (multiplicity 1)
Hg: 0.000 0.500 0.500 (multiplicity 3)

No. 12
DFT (PBE) results for an optimized crystal structure of HoPaV4.

Properties
Energy of formation from the pure elements, eV per atom: 0.1736

a = 7.503 Å, b = 7.503 Å, c = 7.503 Å
α = 90.00°, β = 90.00°, γ = 90.00°
Space group F-43m (No. 216)
Inequivalent atoms, fractional coordinates:
Ho: 0.000 0.000 0.000 (multiplicity 4)
Pa: 0.250 0.250 0.750 (multiplicity 4)
V: 0.123 0.123 0.377 (multiplicity 16)

No. 13
DFT (PBE) results for an optimized crystal structure of Ba2NdIO6.

Properties
Formation energy from raw total energies, meV/atom: -2088.0

a = 8.857 Å, b = 8.857 Å, c = 8.857 Å
α = 90.00°, β = 90.00°, γ = 90.00°
Space group Fm-3m (No. 225)
Inequivalent atoms, fractional coordinates:
Ba: 0.250 0.250 0.250 (multiplicity 8)
Nd: 0.000 0.000 0.000 (multiplicity 4)
I: 0.000 0.000 0.500 (multiplicity 4)
O: 0.000 0.000 0.262 (multiplicity 24)

No. 14
DFT (PBE) results for an optimized crystal structure of Ac4InSi.

Properties
E above lowest polymorph, meV per atom: 0.0
Formation energy from raw total energies, meV/atom: -306.5

a = 6.489 Å, b = 7.433 Å, c = 9.221 Å
α = 90.00°, β = 97.32°, γ = 90.00°
Space group P2_1/m (No. 11)
Inequivalent atoms, fractional coordinates:
Ac: 0.131 0.009 0.255 (multiplicity 4)
Ac: 0.345 0.250 0.644 (multiplicity 2)
Ac: 0.365 0.750 0.947 (multiplicity 2)
In: 0.263 0.750 0.578 (multiplicity 2)
Si: 0.150 0.250 0.963 (multiplicity 2)

No. 15
DFT (PBE) results for an optimized crystal structure of BeGaFe2Mo.

Properties
Energy of formation from the pure elements, eV per atom: 0.4517

a = 3.976 Å, b = 3.976 Å, c = 4.315 Å
α = 90.00°, β = 90.00°, γ = 90.00°
Space group P4/mmm (No. 123)
Inequivalent atoms, fractional coordinates:
Be: 0.000 0.000 0.000 (multiplicity 1)
Ga: 0.500 0.500 0.500 (multiplicity 1)
Fe: 0.000 0.500 0.000 (multiplicity 2)
Mo: 0.000 0.000 0.500 (multiplicity 1)

No. 16
DFT (PBE) results for an optimized crystal structure of GaAgSb2Te.

Properties
E above lowest polymorph, meV per atom: 81.0
Formation energy from raw total energies, meV/atom: 645.1

a = 5.306 Å, b = 5.306 Å, c = 5.424 Å
α = 90.00°, β = 90.00°, γ = 90.00°
Space group P4/mmm (No. 123)
Inequivalent atoms, fractional coordinates:
Ga: 0.000 0.000 0.000 (multiplicity 1)
Ag: 0.500 0.500 0.500 (multiplicity 1)
Sb: 0.000 0.500 0.000 (multiplicity 2)
Te: 0.000 0.000 0.500 (multiplicity 1)

No. 17
DFT (PBE) results for an optimized crystal structure of Li3CoN.

Properties
E above lowest polymorph, meV per atom: 1040.7
Formation energy from raw total energies, meV/atom: 1373.2

a = 4.510 Å, b = 4.510 Å, c = 4.510 Å
α = 90.00°, β = 90.00°, γ = 90.00°
Space group Pm-3m (No. 221)
Inequivalent atoms, fractional coordinates:
Li: 0.000 0.000 0.500 (multiplicity 3)
Co: 0.000 0.000 0.000 (multiplicity 1)
N: 0.500 0.500 0.500 (multiplicity 1)

No. 18
DFT (PBE) results for an optimized crystal structure of LiTb6Au5.

Properties
Energy of formation from the pure elements, eV per atom: -0.7265

a = 5.063 Å, b = 7.256 Å, c = 15.526 Å
α = 90.00°, β = 90.00°, γ = 90.00°
Space group Immm (No. 71)
Inequivalent atoms, fractional coordinates:
Li: 0.000 0.000 0.000 (multiplicity 2)
Tb: 0.000 0.240 0.500 (multiplicity 4)
Tb: 0.000 0.252 0.170 (multiplicity 8)
Au: 0.000 0.000 0.329 (multiplicity 4)
Au: 0.000 0.500 0.000 (multiplicity 2)
Au: 0.000 0.500 0.353 (multiplicity 4)

No. 19
DFT (PBE) results for an optimized crystal structure of La2SiCl.

Properties
E above lowest polymorph, meV per atom: 268.4
Formation energy from raw total energies, meV/atom: -989.9

a = 3.921 Å, b = 4.001 Å, c = 14.772 Å
α = 90.00°, β = 90.00°, γ = 90.00°
Space group Imm2 (No. 44)
Inequivalent atoms, fractional coordinates:
La: 0.000 0.000 0.000 (multiplicity 2)
La: 0.000 0.500 0.268 (multiplicity 2)
Si: 0.000 0.500 0.853 (multiplicity 2)
Cl: 0.000 0.000 0.599 (multiplicity 2)

No. 20
DFT (PBE) results for an optimized crystal structure of LaAgGe2Pd.

Properties
Energy of formation from the pure elements, eV per atom: -0.6522

a = 4.388 Å, b = 4.388 Å, c = 10.617 Å
α = 90.00°, β = 90.00°, γ = 90.00°
Space group I-4m2 (No. 119)
Inequivalent atoms, fractional coordinates:
La: 0.000 0.000 0.000 (multiplicity 2)
Ag: 0.000 0.500 0.750 (multiplicity 2)
Ge: 0.000 0.000 0.383 (multiplicity 4)
Pd: 0.000 0.500 0.250 (multiplicity 2)

No. 21
DFT (PBE) results for an optimized crystal structure of CeDyPuPb.

Properties
Energy of formation from the pure elements, eV per atom: -0.0345

a = 7.611 Å, b = 7.611 Å, c = 7.611 Å
α = 90.00°, β = 90.00°, γ = 90.00°
Space group F-43m (No. 216)
Inequivalent atoms, fractional coordinates:
Ce: 0.000 0.000 0.000 (multiplicity 4)
Dy: 0.250 0.250 0.750 (multiplicity 4)
Pu: 0.250 0.250 0.250 (multiplicity 4)
Pb: 0.000 0.000 0.500 (multiplicity 4)

No. 22
DFT (PBE) results for an optimized crystal structure of LiSm6Ga5.

Properties
Energy of formation from the pure elements, eV per atom: -0.4962

a = 5.187 Å, b = 15.629 Å, c = 7.267 Å
α = 90.00°, β = 90.00°, γ = 90.00°
Space group Cmmm (No. 65)
Inequivalent atoms, fractional coordinates:
Li: 0.000 0.000 0.000 (multiplicity 2)
Sm: 0.000 0.170 0.250 (multiplicity 8)
Sm: 0.000 0.500 0.257 (multiplicity 4)
Ga: 0.000 0.000 0.500 (multiplicity 2)
Ga: 0.000 0.335 0.500 (multiplicity 4)
Ga: 0.000 0.344 0.000 (multiplicity 4)

No. 23
DFT (PBE) results for an optimized crystal structure of KTl6Pd6.

Properties
Energy of formation from the pure elements, eV per atom: -0.1906

a = 5.752 Å, b = 9.537 Å, c = 10.049 Å
α = 90.00°, β = 90.00°, γ = 90.00°
Space group Immm (No. 71)
Inequivalent atoms, fractional coordinates:
K: 0.000 0.000 0.000 (multiplicity 2)
Tl: 0.000 0.000 0.339 (multiplicity 4)
Tl: 0.000 0.332 0.000 (multiplicity 4)
Tl: 0.000 0.500 0.327 (multiplicity 4)
Pd: 0.000 0.256 0.500 (multiplicity 4)
Pd: 0.250 0.250 0.250 (multiplicity 8)